Record 1
# Rb2CdS2 PBE-GGA relaxed
# Spin magnetization ... 0.0 μB/cell
# Formation energy from raw total energies ... -0.9445 eV/atom
# Raw total energy ... -3.1656 eV per atom
# Density ... 3.6 g cm⁻³
data_Rb2CdS2
_symmetry_space_group_name_H-M 'P 1 21/c 1'
_symmetry_Int_Tables_number 14
_cell_length_a 10.0380
_cell_length_b 7.9679
_cell_length_c 8.1514
_cell_angle_alpha 90.00
_cell_angle_beta 98.09
_cell_angle_gamma 90.00
loop_
_symmetry_equiv_pos_as_xyz
'x,y,z'
'-x,-y,-z'
'-x,y+1/2,-z+1/2'
'x,-y+1/2,z+1/2'
loop_
_atom_site_label
_atom_site_type_symbol
_atom_site_fract_x
_atom_site_fract_y
_atom_site_fract_z
Rb1 Rb 0.0620 0.2244 0.0212
Rb2 Rb 0.3204 0.6333 0.9319
Cd1 Cd 0.3775 0.0866 0.8394
S1 S 0.1531 0.5480 0.2484
S2 S 0.4211 0.1414 0.1632

Record 2
# LuMnTc PBE-GGA relaxed
# Spin magnetization ... 3.0 μB/cell
# Energy of formation from the pure elements ... 60 meV/atom
# Raw total energy ... -7.9592 eV per atom
# Density ... 10.7 g cm⁻³
data_LuMnTc
_symmetry_space_group_name_H-M 'I 4 m m'
_symmetry_Int_Tables_number 107
_symmetry_space_group_name_Hall 'I 4 -2'
_cell_length_a 3.0934
_cell_length_b 3.0934
_cell_length_c 10.6616
_cell_angle_alpha 90.00
_cell_angle_beta 90.00
_cell_angle_gamma 90.00
loop_
_atom_site_label
_atom_site_type_symbol
_atom_site_fract_x
_atom_site_fract_y
_atom_site_fract_z
Lu1 Lu 0.0000 0.0000 0.0000
Mn1 Mn 0.0000 0.0000 0.3065
Tc1 Tc 0.0000 0.0000 0.6944

Record 3
# Cs4GaCl7 PBE-GGA relaxed
# Spin magnetization ... 0.3 μB/cell
# Formation energy from raw total energies ... -1.6938 eV/atom
# Raw total energy ... -3.3077 eV per atom
# Density ... 2.9 g cm⁻³
data_Cs4GaCl7
_symmetry_space_group_name_H-M 'C 1 2 1'
_symmetry_Int_Tables_number 5
_cell_length_a 14.9339
_cell_length_b 7.0446
_cell_length_c 10.3504
_cell_angle_alpha 90.00
_cell_angle_beta 118.08
_cell_angle_gamma 90.00
loop_
_symmetry_equiv_pos_as_xyz
'x,y,z'
'-x,y,-z'
'x+1/2,y+1/2,z'
'-x+1/2,y+1/2,-z'
loop_
_atom_site_label
_atom_site_type_symbol
_atom_site_fract_x
_atom_site_fract_y
_atom_site_fract_z
Cs1 Cs 0.1161 0.0000 0.3105
Cs2 Cs 0.1510 0.4985 0.0049
Ga1 Ga 0.0000 0.4829 0.5000
Cl1 Cl 0.0000 0.7977 0.5000
Cl2 Cl 0.0804 0.4922 0.3291
Cl3 Cl 0.1250 0.9971 0.9882
Cl4 Cl 0.1320 0.3178 0.6614

Record 4
# TeMoIN2 PBE-GGA relaxed
# Offset from the most stable computed form ... 0 meV/atom
# Spin magnetization ... 0.1 μB/cell
# Formation energy from raw total energies ... 0.7213 eV/atom
# Raw total energy ... -5.7134 eV per atom
# Density ... 6.5 g cm⁻³
data_TeMoIN2
_symmetry_space_group_name_H-M 'P 4/m m m'
_symmetry_Int_Tables_number 123
_symmetry_space_group_name_Hall '-P 4 2'
_cell_length_a 4.0827
_cell_length_b 4.0827
_cell_length_c 5.8186
_cell_angle_alpha 90.00
_cell_angle_beta 90.00
_cell_angle_gamma 90.00
loop_
_atom_site_label
_atom_site_type_symbol
_atom_site_fract_x
_atom_site_fract_y
_atom_site_fract_z
Te1 Te 0.0000 0.0000 0.0000
Mo1 Mo 0.0000 0.0000 0.5000
I1 I 0.5000 0.5000 0.0000
N1 N 0.0000 0.5000 0.5000

Record 5
# PmPr6Sm3Er2 PBE-GGA relaxed
# Spin magnetization ... 0.0 μB/cell
# Energy of formation from the pure elements ... 13 meV/atom
# Raw total energy ... -4.7129 eV per atom
# Density ... 7.1 g cm⁻³
data_PmPr6Sm3Er2
_symmetry_space_group_name_H-M 'C 1 2/m 1'
_symmetry_Int_Tables_number 12
_cell_length_a 6.3446
_cell_length_b 10.9913
_cell_length_c 12.0262
_cell_angle_alpha 90.00
_cell_angle_beta 100.12
_cell_angle_gamma 90.00
loop_
_symmetry_equiv_pos_as_xyz
'x,y,z'
'-x,-y,-z'
'-x,y,-z'
'x,-y,z'
'x+1/2,y+1/2,z'
'-x+1/2,-y+1/2,-z'
'-x+1/2,y+1/2,-z'
'x+1/2,-y+1/2,z'
loop_
_atom_site_label
_atom_site_type_symbol
_atom_site_fract_x
_atom_site_fract_y
_atom_site_fract_z
Pm1 Pm 0.0000 0.0000 0.0000
Pr1 Pr 0.2491 0.5000 0.2479
Pr2 Pr 0.2503 0.1671 0.2481
Sm1 Sm 0.0000 0.1668 0.5000
Sm2 Sm 0.0000 0.5000 0.5000
Er1 Er 0.0000 0.3335 0.0000

Record 6
# Li15Mg4Ge PBE-GGA relaxed
# Spin magnetization ... 0.0 μB/cell
# Energy of formation from the pure elements ... -93 meV/atom
# Raw total energy ... -2.0782 eV per atom
# Density ... 1.2 g cm⁻³
data_Li15Mg4Ge
_symmetry_space_group_name_H-M 'P 4/m m m'
_symmetry_Int_Tables_number 123
_symmetry_space_group_name_Hall '-P 4 2'
_cell_length_a 4.5757
_cell_length_b 4.5757
_cell_length_c 18.1553
_cell_angle_alpha 90.00
_cell_angle_beta 90.00
_cell_angle_gamma 90.00
loop_
_atom_site_label
_atom_site_type_symbol
_atom_site_fract_x
_atom_site_fract_y
_atom_site_fract_z
Li1 Li 0.0000 0.0000 0.0000
Li2 Li 0.0000 0.0000 0.1867
Li3 Li 0.0000 0.0000 0.3946
Li4 Li 0.0000 0.5000 0.0791
Li5 Li 0.0000 0.5000 0.2881
Li6 Li 0.0000 0.5000 0.5000
Mg1 Mg 0.5000 0.5000 0.1804
Mg2 Mg 0.5000 0.5000 0.3947
Ge1 Ge 0.5000 0.5000 0.0000